Entry 1:
! BeSbAu2 | Alexandria via LeMat-Bulk | meta-GGA SCAN | PBEsol geometry; values from VASP
&SYSTEM
  ibrav = 0, nat = 4, ntyp = 3
/
ATOMIC_SPECIES
Sb 121.76 Sb.upf
Au 196.97 Au.upf
Be 9.01 Be.upf
CELL_PARAMETERS angstrom
-2.303 1.820 2.728
1.310 -2.545 2.805
3.722 3.049 -1.836
ATOMIC_POSITIONS angstrom
Sb 0.000 0.000 0.000
Au 0.461 2.253 1.830
Au 2.268 0.070 1.868
Be -0.496 -0.363 2.767
! E_form (uncorrected) in eV/atom: 0.265

=====

Entry 2:
! BeSb2Au2 | Alexandria via LeMat-Bulk | meta-GGA SCAN | PBEsol geometry; values from VASP
&SYSTEM
  ibrav = 0, nat = 10, ntyp = 3
/
ATOMIC_SPECIES
Sb 121.76 Sb.upf
Au 196.97 Au.upf
Be 9.01 Be.upf
CELL_PARAMETERS angstrom
4.096 0.000 0.000
0.000 7.141 0.000
0.000 0.000 7.141
ATOMIC_POSITIONS angstrom
Sb 0.000 2.294 5.865
Sb 0.000 5.865 4.847
Sb 0.000 4.847 1.276
Sb 0.000 1.276 2.294
Au 2.048 0.963 4.534
Au 2.048 4.534 6.178
Au 2.048 6.178 2.607
Au 2.048 2.607 0.963
Be 0.000 0.000 0.000
Be 0.000 3.571 3.571
! E_form (uncorrected) in eV/atom: 0.319

=====

Entry 3:
! BeSbAu2 | Alexandria via LeMat-Bulk | meta-GGA SCAN | PBEsol geometry; values from VASP
&SYSTEM
  ibrav = 0, nat = 4, ntyp = 3
/
ATOMIC_SPECIES
Sb 121.76 Sb.upf
Au 196.97 Au.upf
Be 9.01 Be.upf
CELL_PARAMETERS angstrom
4.089 0.000 0.000
0.000 4.118 -0.014
0.000 -0.654 4.452
ATOMIC_POSITIONS angstrom
Sb 2.045 0.379 3.160
Au 0.000 3.860 0.048
Au 2.045 2.349 1.205
Be 0.000 2.728 2.229
! E_form (uncorrected) in eV/atom: -0.033

=====

Entry 4:
! BeSbAu2 | Alexandria via LeMat-Bulk | meta-GGA SCAN | PBEsol geometry; values from VASP
&SYSTEM
  ibrav = 0, nat = 4, ntyp = 3
/
ATOMIC_SPECIES
Sb 121.76 Sb.upf
Au 196.97 Au.upf
Be 9.01 Be.upf
CELL_PARAMETERS angstrom
-2.059 4.054 0.926
-3.315 0.232 3.239
0.833 2.160 4.022
ATOMIC_POSITIONS angstrom
Sb -1.135 1.612 2.047
Au 0.000 0.000 0.000
Au -3.405 4.835 6.140
Be -2.270 3.223 4.093
! E_form (uncorrected) in eV/atom: 0.399

=====

Entry 5:
! BeSb2TeAu | Alexandria via LeMat-Bulk | meta-GGA SCAN | PBEsol geometry; values from VASP
&SYSTEM
  ibrav = 0, nat = 5, ntyp = 4
/
ATOMIC_SPECIES
Sb 121.76 Sb.upf
Te 127.60 Te.upf
Au 196.97 Au.upf
Be 9.01 Be.upf
CELL_PARAMETERS angstrom
-1.697 -0.994 4.890
-2.202 -4.486 -1.676
4.595 -2.650 1.056
ATOMIC_POSITIONS angstrom
Sb -1.101 -2.243 -0.838
Sb -0.848 -0.497 2.445
Te 2.298 -1.325 0.528
Au 0.000 0.000 0.000
Be 0.349 -4.065 2.135
! E_form (uncorrected) in eV/atom: 1.084

=====

Entry 6:
! ScBeAu2 | Alexandria via LeMat-Bulk | meta-GGA SCAN | PBEsol geometry; values from VASP
&SYSTEM
  ibrav = 0, nat = 4, ntyp = 3
/
ATOMIC_SPECIES
Sc 44.96 Sc.upf
Be 9.01 Be.upf
Au 196.97 Au.upf
CELL_PARAMETERS angstrom
3.023 0.000 0.000
0.000 3.023 0.000
0.000 0.000 6.775
ATOMIC_POSITIONS angstrom
Sc 1.511 1.511 3.387
Be 1.511 1.511 0.000
Au 0.000 0.000 5.361
Au 0.000 0.000 1.414
! E_form in eV per atom: -0.6615

=====

Entry 7:
! Sc2BeTlAu | Alexandria via LeMat-Bulk | meta-GGA SCAN | PBEsol geometry; values from VASP
&SYSTEM
  ibrav = 0, nat = 5, ntyp = 4
/
ATOMIC_SPECIES
Sc 44.96 Sc.upf
Be 9.01 Be.upf
Tl 204.38 Tl.upf
Au 196.97 Au.upf
CELL_PARAMETERS angstrom
-2.222 1.726 -3.228
3.119 -2.506 -3.487
-3.294 -4.160 0.043
ATOMIC_POSITIONS angstrom
Sc -1.647 -2.080 0.022
Sc 1.559 -1.253 -1.743
Be -1.111 0.863 -1.614
Tl 0.000 0.000 0.000
Au -1.199 -2.470 -3.336
! E_form in eV per atom: 0.3954

=====

Entry 8:
! BeAuSe2 | Alexandria via LeMat-Bulk | meta-GGA SCAN | PBEsol geometry; values from VASP
&SYSTEM
  ibrav = 0, nat = 8, ntyp = 3
/
ATOMIC_SPECIES
Be 9.01 Be.upf
Au 196.97 Au.upf
Se 78.96 Se.upf
CELL_PARAMETERS angstrom
-2.071 2.297 -4.657
-5.048 0.282 2.384
4.688 3.441 2.968
ATOMIC_POSITIONS angstrom
Be -0.471 3.514 -1.412
Be -3.560 1.289 -1.136
Au -1.960 2.506 2.108
Au 0.000 0.000 0.000
Se -2.433 2.865 -2.213
Se -4.122 2.080 0.856
Se -0.688 4.179 0.690
Se 2.382 2.917 2.058
! E_form (uncorrected) in eV/atom: -0.334

=====

Entry 9:
! BeAuSe2 | Alexandria via LeMat-Bulk | meta-GGA SCAN | PBEsol geometry; values from VASP
&SYSTEM
  ibrav = 0, nat = 4, ntyp = 3
/
ATOMIC_SPECIES
Be 9.01 Be.upf
Au 196.97 Au.upf
Se 78.96 Se.upf
CELL_PARAMETERS angstrom
3.460 0.000 0.000
0.000 4.577 0.185
0.000 -0.421 5.446
ATOMIC_POSITIONS angstrom
Be 1.730 0.064 3.676
Au 0.000 2.034 3.204
Se 0.000 0.306 4.970
Se 1.730 3.407 2.044
! E_form (uncorrected) in eV/atom: -0.290

=====

Entry 10:
! BeAuSe2 | Alexandria via LeMat-Bulk | meta-GGA SCAN | PBEsol geometry; values from VASP
&SYSTEM
  ibrav = 0, nat = 4, ntyp = 3
/
ATOMIC_SPECIES
Be 9.01 Be.upf
Au 196.97 Au.upf
Se 78.96 Se.upf
CELL_PARAMETERS angstrom
3.264 0.000 0.000
0.000 4.050 0.000
-1.632 -2.025 5.306
ATOMIC_POSITIONS angstrom
Be 0.000 2.025 2.865
Au 1.632 2.025 0.806
Se 1.632 2.025 4.524
Se 1.632 0.000 2.416
! E_form (uncorrected) in eV/atom: 0.159

=====

Entry 11:
! BeAuSe2 | Alexandria via LeMat-Bulk | meta-GGA SCAN | PBEsol geometry; values from VASP
&SYSTEM
  ibrav = 0, nat = 4, ntyp = 3
/
ATOMIC_SPECIES
Be 9.01 Be.upf
Au 196.97 Au.upf
Se 78.96 Se.upf
CELL_PARAMETERS angstrom
4.405 0.000 0.000
-2.203 4.166 -0.014
0.000 2.341 3.731
ATOMIC_POSITIONS angstrom
Be 0.000 0.000 0.000
Au 2.203 1.171 1.866
Se 0.000 2.668 0.926
Se 2.203 3.839 2.792
! E_form (uncorrected) in eV/atom: 0.665

=====

Entry 12:
! BeAuSe2 | Alexandria via LeMat-Bulk | meta-GGA SCAN | PBEsol geometry; values from VASP
&SYSTEM
  ibrav = 0, nat = 4, ntyp = 3
/
ATOMIC_SPECIES
Be 9.01 Be.upf
Au 196.97 Au.upf
Se 78.96 Se.upf
CELL_PARAMETERS angstrom
2.787 0.000 0.000
0.000 5.008 0.000
0.000 0.000 5.008
ATOMIC_POSITIONS angstrom
Be 1.394 0.000 0.000
Au 1.394 2.504 2.504
Se 0.000 0.000 2.504
Se 0.000 2.504 0.000
! E_form (uncorrected) in eV/atom: 0.573

=====

Entry 13:
! BeAuSe2 | Alexandria via LeMat-Bulk | meta-GGA SCAN | PBEsol geometry; values from VASP
&SYSTEM
  ibrav = 0, nat = 4, ntyp = 3
/
ATOMIC_SPECIES
Be 9.01 Be.upf
Au 196.97 Au.upf
Se 78.96 Se.upf
CELL_PARAMETERS angstrom
3.521 0.000 0.000
0.000 4.437 0.073
0.000 -1.922 4.416
ATOMIC_POSITIONS angstrom
Be 1.760 2.218 0.037
Au 1.760 -0.961 2.208
Se 0.000 0.888 0.894
Se 0.000 1.627 3.594
! E_form (uncorrected) in eV/atom: 0.151

=====

Entry 14:
! BeSi2Au | Alexandria via LeMat-Bulk | meta-GGA SCAN | PBEsol geometry; values from VASP
&SYSTEM
  ibrav = 0, nat = 4, ntyp = 3
/
ATOMIC_SPECIES
Be 9.01 Be.upf
Si 28.09 Si.upf
Au 196.97 Au.upf
CELL_PARAMETERS angstrom
-2.600 1.258 0.840
-1.063 0.071 -3.395
-0.507 -5.914 1.899
ATOMIC_POSITIONS angstrom
Be 0.000 0.000 0.000
Si -2.815 -1.542 -1.016
Si -1.356 -3.042 0.360
Au -1.832 0.665 -1.277
! E_form (uncorrected) in eV/atom: 0.136

=====

Entry 15:
! BeSi2Au | Alexandria via LeMat-Bulk | meta-GGA SCAN | PBEsol geometry; values from VASP
&SYSTEM
  ibrav = 0, nat = 4, ntyp = 3
/
ATOMIC_SPECIES
Be 9.01 Be.upf
Si 28.09 Si.upf
Au 196.97 Au.upf
CELL_PARAMETERS angstrom
-0.312 0.011 -2.733
2.162 -1.682 -0.254
-4.383 -5.706 0.479
ATOMIC_POSITIONS angstrom
Be -2.382 -5.141 -1.132
Si -4.248 -5.531 0.464
Si -0.134 -2.215 -1.378
Au -2.343 -3.050 0.256
! E_form (uncorrected) in eV/atom: 0.318

=====

| no. | volume (Å³ per cell) | calculated total energy (hartree per atom) |
| --- | --- | --- |
| 1 | 69.1 | -1.64331 |
| 2 | 208.9 | -1.58460 |
| 3 | 74.9 | -1.65428 |
| 4 | 70.6 | -1.63840 |
| 5 | 150.2 | -1.32195 |
| 6 | 61.9 | -1.46584 |
| 7 | 120.6 | -1.26687 |
| 8 | 162.4 | -1.05656 |
| 9 | 86.5 | -1.05495 |
| 10 | 70.1 | -1.03847 |
| 11 | 68.6 | -1.01987 |
| 12 | 69.9 | -1.02325 |
| 13 | 69.5 | -1.03875 |
| 14 | 61.9 | -0.85439 |
| 15 | 54.6 | -0.84772 |